Compound: ZrPRu3
Source: Alexandria
Functional: PBE-GGA
Structure: optimized geometry

The structure in CIF format:
```
data_ZrPRu3
_chemical_formula_sum 'Zr1 P1 Ru3'
_space_group_name_H-M_alt 'P m -3 m'
_space_group_IT_number 221
_space_group_name_Hall '-P 4 2 3'
_cell_length_a 4.353
_cell_length_b 4.353
_cell_length_c 4.353
_cell_angle_alpha 90.00
_cell_angle_beta 90.00
_cell_angle_gamma 90.00
loop_
_atom_site_label
_atom_site_type_symbol
_atom_site_fract_x
_atom_site_fract_y
_atom_site_fract_z
Zr1 Zr 0.000 0.000 0.000
P1 P 0.500 0.500 0.500
Ru1 Ru 0.000 0.500 0.500
```

## Properties
raw total energy	-8.5814	eV per atom
total moment	0.0000	μB/atom
calculated formation energy	-0.22	eV per atom
energy above the most stable polymorph in this dataset	0	kJ/mol of formula units


Compound: ZrP3Ru5
Source: Alexandria
Functional: PBE-GGA
Structure: optimized geometry

The structure in CIF format:
```
data_ZrP3Ru5
_chemical_formula_sum 'Zr4 P12 Ru20'
_space_group_name_H-M_alt 'C m c m'
_space_group_IT_number 63
_space_group_name_Hall '-C 2c 2'
_cell_length_a 2.959
_cell_length_b 12.687
_cell_length_c 14.007
_cell_angle_alpha 90.00
_cell_angle_beta 90.00
_cell_angle_gamma 90.00
loop_
_atom_site_label
_atom_site_type_symbol
_atom_site_fract_x
_atom_site_fract_y
_atom_site_fract_z
Zr1 Zr 0.000 0.175 0.250
P1 P 0.000 0.122 0.750
P2 P 0.000 0.366 0.554
Ru1 Ru 0.000 0.000 0.000
Ru2 Ru 0.000 0.195 0.588
Ru3 Ru 0.000 0.489 0.158
```

## Properties
raw total energy	-8.2963	eV per atom
total moment	0.0000	μB/atom
calculated formation energy	-0.39	eV per atom


Compound: ZrP2Ru3
Source: Alexandria
Functional: PBE-GGA
Structure: optimized geometry

The structure in CIF format:
```
data_ZrP2Ru3
_chemical_formula_sum 'Zr6 P12 Ru18'
_space_group_name_H-M_alt 'C 1 2/m 1'
_space_group_IT_number 12
_space_group_name_Hall '-C 2y'
_cell_length_a 15.478
_cell_length_b 3.863
_cell_length_c 9.494
_cell_angle_alpha 90.00
_cell_angle_beta 108.97
_cell_angle_gamma 90.00
loop_
_atom_site_label
_atom_site_type_symbol
_atom_site_fract_x
_atom_site_fract_y
_atom_site_fract_z
Zr1 Zr 0.000 0.000 0.000
Zr2 Zr 0.158 0.000 0.686
P1 P 0.043 0.500 0.778
P2 P 0.138 0.500 0.450
P3 P 0.197 0.000 0.132
Ru1 Ru 0.000 0.500 0.500
Ru2 Ru 0.036 0.000 0.319
Ru3 Ru 0.122 0.500 0.197
Ru4 Ru 0.180 0.500 0.959
Ru5 Ru 0.219 0.000 0.389
```

## Properties
raw total energy	-8.6055	eV per atom
total moment	0.0000	μB/atom
calculated formation energy	-0.74	eV per atom


Compound: ZrPRu3
Source: Alexandria
Functional: PBE-GGA
Structure: optimized geometry

The structure in CIF format:
```
data_ZrPRu3
_chemical_formula_sum 'Zr1 P1 Ru3'
_space_group_name_H-M_alt 'P m -3 m'
_space_group_IT_number 221
_space_group_name_Hall '-P 4 2 3'
_cell_length_a 4.791
_cell_length_b 4.791
_cell_length_c 4.791
_cell_angle_alpha 90.00
_cell_angle_beta 90.00
_cell_angle_gamma 90.00
loop_
_atom_site_label
_atom_site_type_symbol
_atom_site_fract_x
_atom_site_fract_y
_atom_site_fract_z
Zr1 Zr 0.000 0.000 0.000
P1 P 0.500 0.500 0.500
Ru1 Ru 0.000 0.000 0.500
```

## Properties
raw total energy	-6.4277	eV per atom
total moment	0.6623	μB/atom
calculated formation energy	1.93	eV per atom
energy above the most stable polymorph in this dataset	1039	kJ/mol of formula units


Compound: ZrP2Ru2
Source: Alexandria
Functional: PBE-GGA
Structure: optimized geometry

The structure in CIF format:
```
data_ZrP2Ru2
_chemical_formula_sum 'Zr2 P4 Ru4'
_space_group_name_H-M_alt 'P 1 21/m 1'
_space_group_IT_number 11
_space_group_name_Hall '-P 2yb'
_cell_length_a 4.160
_cell_length_b 4.046
_cell_length_c 9.023
_cell_angle_alpha 90.00
_cell_angle_beta 94.75
_cell_angle_gamma 90.00
loop_
_atom_site_label
_atom_site_type_symbol
_atom_site_fract_x
_atom_site_fract_y
_atom_site_fract_z
Zr1 Zr 0.214 0.250 0.254
P1 P 0.161 0.750 0.995
P2 P 0.275 0.250 0.640
Ru1 Ru 0.249 0.750 0.502
Ru2 Ru 0.335 0.250 0.901
```

## Properties
raw total energy	-8.4153	eV per atom
total moment	0.0000	μB/atom
calculated formation energy	-0.83	eV per atom


Compound: ZrPRu
Source: Alexandria
Functional: PBE-GGA
Structure: optimized geometry

The structure in CIF format:
```
data_ZrPRu
_chemical_formula_sum 'Zr6 P6 Ru6'
_space_group_name_H-M_alt 'P 1 21/m 1'
_space_group_IT_number 11
_space_group_name_Hall '-P 2yb'
_cell_length_a 6.541
_cell_length_b 3.797
_cell_length_c 11.238
_cell_angle_alpha 90.00
_cell_angle_beta 90.88
_cell_angle_gamma 90.00
loop_
_atom_site_label
_atom_site_type_symbol
_atom_site_fract_x
_atom_site_fract_y
_atom_site_fract_z
Zr1 Zr 0.022 0.250 0.208
Zr2 Zr 0.347 0.750 0.578
Zr3 Zr 0.473 0.750 0.880
P1 P 0.229 0.250 0.416
P2 P 0.232 0.750 0.081
P3 P 0.270 0.250 0.752
Ru1 Ru 0.011 0.250 0.592
Ru2 Ru 0.151 0.250 0.961
Ru3 Ru 0.360 0.750 0.298
```

## Properties
raw total energy	-8.8384	eV per atom
total moment	0.0000	μB/atom
calculated formation energy	-1.09	eV per atom


Compound: Zr3P4Ru4
Source: Alexandria
Functional: PBE-GGA
Structure: optimized geometry

The structure in CIF format:
```
data_Zr3P4Ru4
_chemical_formula_sum 'Zr6 P8 Ru8'
_space_group_name_H-M_alt 'I m m m'
_space_group_IT_number 71
_space_group_name_Hall '-I 2 2'
_cell_length_a 3.829
_cell_length_b 6.897
_cell_length_c 12.724
_cell_angle_alpha 90.00
_cell_angle_beta 90.00
_cell_angle_gamma 90.00
loop_
_atom_site_label
_atom_site_type_symbol
_atom_site_fract_x
_atom_site_fract_y
_atom_site_fract_z
Zr1 Zr 0.000 0.000 0.000
Zr2 Zr 0.000 0.500 0.117
P1 P 0.000 0.000 0.220
P2 P 0.000 0.207 0.500
Ru1 Ru 0.000 0.299 0.326
```

## Properties
raw total energy	-8.6520	eV per atom
total moment	0.0000	μB/atom
calculated formation energy	-0.98	eV per atom


Compound: ZrPRu
Source: Alexandria
Functional: PBE-GGA
Structure: optimized geometry

The structure in CIF format:
```
data_ZrPRu
_chemical_formula_sum 'Zr2 P2 Ru2'
_space_group_name_H-M_alt 'I 4 m m'
_space_group_IT_number 107
_space_group_name_Hall 'I 4 -2'
_cell_length_a 2.986
_cell_length_b 2.986
_cell_length_c 10.563
_cell_angle_alpha 90.00
_cell_angle_beta 90.00
_cell_angle_gamma 90.00
loop_
_atom_site_label
_atom_site_type_symbol
_atom_site_fract_x
_atom_site_fract_y
_atom_site_fract_z
Zr1 Zr 0.000 0.000 0.000
P1 P 0.000 0.000 0.315
Ru1 Ru 0.000 0.000 0.705
```

## Properties
raw total energy	-8.3906	eV per atom
total moment	0.0000	μB/atom
calculated formation energy	-0.65	eV per atom


Compound: ZrP2Ru2
Source: Alexandria
Functional: PBE-GGA
Structure: optimized geometry

The structure in CIF format:
```
data_ZrP2Ru2
_chemical_formula_sum 'Zr2 P4 Ru4'
_space_group_name_H-M_alt 'P 4/m b m'
_space_group_IT_number 127
_space_group_name_Hall '-P 4 2ab'
_cell_length_a 7.102
_cell_length_b 7.102
_cell_length_c 2.876
_cell_angle_alpha 90.00
_cell_angle_beta 90.00
_cell_angle_gamma 90.00
loop_
_atom_site_label
_atom_site_type_symbol
_atom_site_fract_x
_atom_site_fract_y
_atom_site_fract_z
Zr1 Zr 0.000 0.000 0.000
P1 P 0.152 0.348 0.000
Ru1 Ru 0.141 0.641 0.500
```

## Properties
raw total energy	-8.0640	eV per atom
total moment	0.0000	μB/atom
calculated formation energy	-0.48	eV per atom


Compound: ZrPRu
Source: Alexandria
Functional: PBE-GGA
Structure: optimized geometry

The structure in CIF format:
```
data_ZrPRu
_chemical_formula_sum 'Zr3 P3 Ru3'
_space_group_name_H-M_alt 'P -6 2 m'
_space_group_IT_number 189
_space_group_name_Hall 'P -6 -2'
_cell_length_a 6.8456
_cell_length_b 6.8456
_cell_length_c 3.5916
_cell_angle_alpha 90.00
_cell_angle_beta 90.00
_cell_angle_gamma 120.00
loop_
_atom_site_label
_atom_site_type_symbol
_atom_site_fract_x
_atom_site_fract_y
_atom_site_fract_z
Zr1 Zr 0.0000 0.6079 0.0000
P1 P 0.0000 0.2702 0.5000
Ru1 Ru 0.0000 0.0000 0.0000
Ru2 Ru 0.3333 0.6667 0.5000
```

## Properties
raw total energy	-8.4918	eV per atom
total moment	0.0000	μB/atom
calculated formation energy	-0.75	eV per atom